Density functional theory data (PBE) for a geometry-optimized BaSr2CaCu structure.

It has space group P4/mmm (No. 123), with a = 6.1096 Å, b = 6.1096 Å, c = 6.2882 Å, α = 90.00°, β = 90.00° and γ = 90.00°. Symmetry generates all atoms from Ba at (0.0000, 0.0000, 0.0000), Sr at (0.0000, 0.5000, 0.5000), Ca at (0.5000, 0.5000, 0.0000) and Cu at (0.0000, 0.0000, 0.5000).

Its polymorph energy (0 for the lowest one) is 0.032 eV per atom. The energy of formation comes out at 0.022 eV per atom. The value obtained for the volume is 46.945 A^3/atom. For the theoretical density, the calculation gives 2.944 g cm⁻³.